Record 1
# ZnTc2Pb PBE optimized geometry
# calculated total energy = -5.7959 eV per atom
# total magnetization = 1.843 μB per formula unit
data_ZnTc2Pb
_chemical_formula_sum 'Zn1 Tc2 Pb1'
_space_group_name_H-M_alt 'P 4/m m m'
_space_group_IT_number 123
_space_group_name_Hall '-P 4 2'
_cell_length_a 4.525
_cell_length_b 4.525
_cell_length_c 3.271
_cell_angle_alpha 90.00
_cell_angle_beta 90.00
_cell_angle_gamma 90.00
loop_
_atom_site_label
_atom_site_type_symbol
_atom_site_fract_x
_atom_site_fract_y
_atom_site_fract_z
Zn1 Zn 0.000 0.000 0.000
Tc1 Tc 0.000 0.500 0.500
Pb1 Pb 0.500 0.500 0.000



Record 2
# ZnTc2Pb PBE optimized geometry
# calculated total energy = -5.6837 eV per atom
# total magnetization = 0.004 μB per formula unit
data_ZnTc2Pb
_chemical_formula_sum 'Zn2 Tc4 Pb2'
_space_group_name_H-M_alt 'C m m m'
_space_group_IT_number 65
_space_group_name_Hall '-C 2 2'
_cell_length_a 3.241
_cell_length_b 4.894
_cell_length_c 8.724
_cell_angle_alpha 90.00
_cell_angle_beta 90.00
_cell_angle_gamma 90.00
loop_
_atom_site_label
_atom_site_type_symbol
_atom_site_fract_x
_atom_site_fract_y
_atom_site_fract_z
Zn1 Zn 0.000 0.000 0.000
Tc1 Tc 0.000 0.500 0.235
Pb1 Pb 0.000 0.000 0.500



Record 3
# ZnTc2Pb PBE optimized geometry
# calculated total energy = -5.8837 eV per atom
# total magnetization = 0.001 μB per formula unit
data_ZnTc2Pb
_chemical_formula_sum 'Zn2 Tc4 Pb2'
_space_group_name_H-M_alt 'I m m 2'
_space_group_IT_number 44
_space_group_name_Hall 'I 2 -2'
_cell_length_a 3.217
_cell_length_b 4.542
_cell_length_c 9.252
_cell_angle_alpha 90.00
_cell_angle_beta 90.00
_cell_angle_gamma 90.00
loop_
_atom_site_label
_atom_site_type_symbol
_atom_site_fract_x
_atom_site_fract_y
_atom_site_fract_z
Zn1 Zn 0.000 0.000 0.000
Tc1 Tc 0.000 0.000 0.528
Tc2 Tc 0.000 0.500 0.261
Pb1 Pb 0.000 0.500 0.767



Record 4
# ZnTc2Pb PBE optimized geometry
# calculated total energy = -5.8460 eV per atom
# total magnetization = 0.004 μB per formula unit
data_ZnTc2Pb
_chemical_formula_sum 'Zn1 Tc2 Pb1'
_space_group_name_H-M_alt 'P 1 2/m 1'
_space_group_IT_number 10
_space_group_name_Hall '-P 2y'
_cell_length_a 4.714
_cell_length_b 3.050
_cell_length_c 4.971
_cell_angle_alpha 90.00
_cell_angle_beta 108.76
_cell_angle_gamma 90.00
loop_
_atom_site_label
_atom_site_type_symbol
_atom_site_fract_x
_atom_site_fract_y
_atom_site_fract_z
Zn1 Zn 0.000 0.000 0.000
Tc1 Tc 0.500 0.000 0.500
Tc2 Tc 0.500 0.500 0.000
Pb1 Pb 0.000 0.500 0.500



Q: The highest total magnetization belongs to which entry?
A: number 1



Q: The highest total magnetization belongs to which entry?
A: number 1



Q: What is the total magnetization in the fourth record?
A: 0.004 μB per formula unit